# 1
Computed, not measured: an optimized crystal structure of Th2MnBr at the PBE-GGA level of DFT.

POSCAR file:
```
Th2MnBr
1.0
-3.975 0.352 0.427
-2.150 -3.090 1.392
-1.016 1.706 8.002
Mn Br Th
1 1 2
Direct
0.000 0.000 0.000
0.500 0.500 0.500
0.727 0.727 0.820
0.273 0.273 0.180
```

Output
ρ (g cm⁻³): 9.0
Crystal system: trigonal
Formation energy (no corrections) (eV per atom): -0.422

# 2
Computed, not measured: an optimized crystal structure of Sm3HoSb2 at the PBE-GGA level of DFT.

POSCAR file:
```
Sm3HoSb2
1.0
-3.167 0.782 -3.143
-2.324 -3.611 1.443
-4.318 5.017 5.598
Sm Ho Sb
3 1 2
Direct
0.500 0.000 0.353
0.000 0.500 0.647
0.000 0.000 0.000
0.500 0.500 0.000
0.500 0.000 0.723
0.000 0.500 0.277
```

Output
ρ (g cm⁻³): 8.0
Crystal system: tetragonal
Energy above the most stable polymorph in this dataset (meV per atom): 0
Formation energy (no corrections) (eV per atom): -0.822

| no. | final energy (eV/cell) | spin magnetization (μB/f.u.) |
| --- | --- | --- |
| 1 | -27.4 | 0.00 |
| 2 | -31.9 | 0.00 |